Entry one
! TlCrRu2 (PBE, optimized geometry); values from VASP
! spin magnetization	2.3	μB per cell
! volume	64.6	Å³/cell
&SYSTEM
  ibrav = 0, nat = 4, ntyp = 3
/
ATOMIC_SPECIES
Tl 204.38 Tl.upf
Cr 52.00 Cr.upf
Ru 101.07 Ru.upf
ATOMIC_POSITIONS crystal
Tl 0.000 0.000 0.000
Cr 0.500 0.000 0.500
Ru 0.000 0.500 0.500
Ru 0.500 0.500 0.000
CELL_PARAMETERS angstrom
3.144 0.000 0.000
0.000 4.402 0.000
0.000 0.000 4.671

=====

Entry two
! TlCrRu2 (PBE, optimized geometry); values from VASP
! spin magnetization	2.5	μB per cell
! volume	125.9	Å³/cell
&SYSTEM
  ibrav = 0, nat = 8, ntyp = 3
/
ATOMIC_SPECIES
Tl 204.38 Tl.upf
Cr 52.00 Cr.upf
Ru 101.07 Ru.upf
ATOMIC_POSITIONS crystal
Tl 0.000 0.000 0.000
Tl 0.500 0.500 0.500
Cr 0.000 0.500 0.250
Cr 0.500 0.000 0.750
Ru 0.000 0.000 0.500
Ru 0.000 0.500 0.750
Ru 0.500 0.000 0.250
Ru 0.500 0.500 0.000
CELL_PARAMETERS angstrom
3.880 0.000 0.000
0.000 3.880 0.000
0.000 0.000 8.363

=====

Quick look at relative energies in kJ/mol of atoms: entry one 16.1; entry two 0.0.

=====

Entry one
! TlCrRu (PBE, optimized geometry); values from VASP
! spin magnetization	2.6	μB per cell
! volume	51.5	Å³/cell
&SYSTEM
  ibrav = 0, nat = 3, ntyp = 3
/
ATOMIC_SPECIES
Tl 204.38 Tl.upf
Cr 52.00 Cr.upf
Ru 101.07 Ru.upf
ATOMIC_POSITIONS crystal
Tl 0.000 0.000 0.000
Cr 0.667 0.333 0.500
Ru 0.333 0.667 0.500
CELL_PARAMETERS angstrom
4.364 0.000 0.000
-2.182 3.779 0.000
0.000 0.000 3.121

=====

Entry two
! TlCrRu (PBE, optimized geometry); values from VASP
! spin magnetization	11.5	μB per cell
! volume	240.4	Å³/cell
&SYSTEM
  ibrav = 0, nat = 12, ntyp = 3
/
ATOMIC_SPECIES
Tl 204.38 Tl.upf
Cr 52.00 Cr.upf
Ru 101.07 Ru.upf
ATOMIC_POSITIONS crystal
Tl 0.000 0.000 0.000
Tl 0.000 0.500 0.500
Tl 0.500 0.000 0.500
Tl 0.500 0.500 0.000
Cr 0.000 0.000 0.500
Cr 0.000 0.500 0.000
Cr 0.500 0.000 0.000
Cr 0.500 0.500 0.500
Ru 0.250 0.250 0.250
Ru 0.250 0.750 0.750
Ru 0.750 0.250 0.750
Ru 0.750 0.750 0.250
CELL_PARAMETERS angstrom
6.218 0.000 0.000
0.000 6.218 0.000
0.000 0.000 6.218

=====

Quick look at relative energies in kJ/mol of atoms: entry one 0.0; entry two 14.5.

=====

Entry one
! TlCrRu (PBE, optimized geometry); values from VASP
! spin magnetization	1.5	μB per cell
! volume	99.0	Å³/cell
&SYSTEM
  ibrav = 0, nat = 6, ntyp = 3
/
ATOMIC_SPECIES
Tl 204.38 Tl.upf
Cr 52.00 Cr.upf
Ru 101.07 Ru.upf
ATOMIC_POSITIONS crystal
Tl 0.000 0.000 0.000
Tl 0.500 0.500 0.500
Cr 0.000 0.000 0.312
Cr 0.500 0.500 0.812
Ru 0.000 0.000 0.694
Ru 0.500 0.500 0.194
CELL_PARAMETERS angstrom
2.938 0.000 0.000
0.000 2.938 0.000
0.000 0.000 11.472

=====

Entry two
! TlCrRu (PBE, optimized geometry); values from VASP
! spin magnetization	0.5	μB per cell
! volume	49.7	Å³/cell
&SYSTEM
  ibrav = 0, nat = 3, ntyp = 3
/
ATOMIC_SPECIES
Tl 204.38 Tl.upf
Cr 52.00 Cr.upf
Ru 101.07 Ru.upf
ATOMIC_POSITIONS crystal
Tl 0.000 0.000 0.000
Cr 0.667 0.333 0.358
Ru 0.333 0.667 0.628
CELL_PARAMETERS angstrom
2.920 0.000 0.000
-1.460 2.529 0.000
0.000 0.000 6.727

=====

Quick look at relative energies in kJ/mol of atoms: entry one 0.0; entry two 18.5.

=====

Entry one
! TlCr3Ru (PBE, optimized geometry); values from VASP
! spin magnetization	1.9	μB per cell
! volume	103.3	Å³/cell
&SYSTEM
  ibrav = 0, nat = 5, ntyp = 3
/
ATOMIC_SPECIES
Tl 204.38 Tl.upf
Cr 52.00 Cr.upf
Ru 101.07 Ru.upf
ATOMIC_POSITIONS crystal
Tl 0.000 0.000 0.000
Cr 0.000 0.000 0.500
Cr 0.000 0.500 0.000
Cr 0.500 0.000 0.000
Ru 0.500 0.500 0.500
CELL_PARAMETERS angstrom
4.692 0.000 0.000
0.000 4.692 0.000
0.000 0.000 4.692

=====

Entry two
! TlCr3Ru (PBE, optimized geometry); values from VASP
! spin magnetization	9.7	μB per cell
! volume	106.6	Å³/cell
&SYSTEM
  ibrav = 0, nat = 5, ntyp = 3
/
ATOMIC_SPECIES
Tl 204.38 Tl.upf
Cr 52.00 Cr.upf
Ru 101.07 Ru.upf
ATOMIC_POSITIONS crystal
Tl 0.000 0.000 0.000
Cr 0.000 0.500 0.500
Cr 0.500 0.000 0.500
Cr 0.500 0.500 0.000
Ru 0.500 0.500 0.500
CELL_PARAMETERS angstrom
4.741 0.000 0.000
0.000 4.741 0.000
0.000 0.000 4.741

=====

Quick look at relative energies in kJ/mol of atoms: entry one 168.8; entry two 0.0.